Below is La2HoSb3 after structural relaxation, with properties calculated at the GGA-PBE level.

Lattice parameters (Å, degrees): 7.871 7.871 7.862 99.63 99.63 120.00
Fractional positions:
La 0.833 0.167 0.500
La 0.333 0.667 0.000
La 0.169 0.831 0.500
La 0.497 0.503 0.500
Ho 0.001 0.999 0.000
Ho 0.666 0.334 0.000
Sb 0.595 0.929 0.762
Sb 0.071 0.405 0.238
Sb 0.912 0.586 0.759
Sb 0.253 0.245 0.759
Sb 0.414 0.088 0.241
Sb 0.755 0.747 0.241

The formation energy (no corrections) comes out at -1212 meV per atom. The value obtained for the spin magnetization is 0.000 μB per formula unit. The calculation puts the energy above the most stable polymorph in this dataset at 0 meV per atom.